Zr2Sb | GGA-PBE | optimized geometry

Cell lengths 5.838, 5.838, 5.838 Å; angles 60.00, 60.00, 60.00 degrees
Atoms (fractional coordinates):
1 Zr 0.000 0.000 0.000
2 Zr 0.000 0.000 0.500
3 Zr 0.000 0.500 0.000
4 Zr 0.500 0.000 0.000
5 Sb 0.375 0.375 0.375
6 Sb 0.625 0.625 0.625

## Properties
- DFT total energy (eV per formula unit) = -21.29
- SG = No. 227